## one
Rb2InAu2 | PBE-GGA | optimized geometry

space-group type	C2/c (15)
volume	33.392	Å³/atom
Fermi-level density of states	3.2	states/eV per cell

abc: 6.7108 6.7108 8.5398
angles: 100.48 100.48 62.70
Atoms (fractional coordinates):
Rb 0.0151 0.2735 0.1341
Rb 0.2735 0.0151 0.6341
Rb 0.7265 0.9849 0.3659
Rb 0.9849 0.7265 0.8659
In 0.4090 0.5910 0.2500
In 0.5910 0.4090 0.7500
Au 0.2162 0.5010 0.4986
Au 0.4990 0.7838 0.0014
Au 0.5010 0.2162 0.9986
Au 0.7838 0.4990 0.5014

## two
Rb2InAu2 | PBE-GGA | optimized geometry

space-group type	I4/mmm (139)
volume	37.707	Å³/atom
Fermi-level density of states	3.4	states/eV per cell

abc: 8.0471 8.0471 8.0471
angles: 142.88 142.88 53.50
Atoms (fractional coordinates):
Rb 0.2500 0.7500 0.5000
Rb 0.7500 0.2500 0.5000
In 0.0000 0.0000 0.0000
Au 0.4049 0.4049 0.0000
Au 0.5951 0.5951 0.0000

List of relative energies, unit eV/atom: one 0.000; two 0.391